DFT (PBE+U) results for a relaxed GaMoOF2 crystal.

Cell lengths 4.2695, 4.2695, 4.2092 Å; angles 90.00, 90.00, 90.00 degrees
Fractional positions:
Ga 0.0000 0.0000 0.0000
Mo 0.5000 0.5000 0.5000
O 0.5000 0.5000 0.0000
F 0.0000 0.5000 0.5000
F 0.5000 0.0000 0.5000

- symmetry = P4/mmm, No. 123
- relative energy among the computed polymorphs (meV per atom) = 0.0